# 1
Here is a geometry-optimized CsLaPb2 structure from Alexandria. Energies are from GGA-PBE.

Cell: 4.389 4.389 8.510 Å, 90.00 90.00 90.00°
Positions (direct):
Cs  0.000  0.000  0.000
La  0.000  0.000  0.500
Pb  0.500  0.500  0.320
Pb  0.500  0.500  0.680

Formation energy in meV/atom: -358.2
Relative energy among the computed polymorphs in meV per atom: 0.0
M_tot in μB per formula unit: 0.00

=====

# 2
Here is a geometry-optimized CsLaPb3 structure from Alexandria. Energies are from GGA-PBE.

Cell: 6.254 6.254 6.254 Å, 90.00 90.00 90.00°
Positions (direct):
Cs  0.000  0.000  0.000
La  0.500  0.500  0.500
Pb  0.000  0.500  0.500
Pb  0.500  0.000  0.500
Pb  0.500  0.500  0.000

Formation energy in meV/atom: 132.9
Relative energy among the computed polymorphs in meV per atom: 0.0
M_tot in μB per formula unit: 0.00

=====

# 3
Here is a geometry-optimized CsLa2Pb2 structure from Alexandria. Energies are from GGA-PBE.

Cell: 7.917 7.917 7.917 Å, 138.47 138.47 60.18°
Positions (direct):
Cs  0.000  0.000  0.000
La  0.250  0.750  0.500
La  0.750  0.250  0.500
Pb  0.382  0.382  0.000
Pb  0.618  0.618  0.000

Formation energy in meV/atom: -165.0
Relative energy among the computed polymorphs in meV per atom: 227.4
M_tot in μB per formula unit: 0.00